# 1
{
  "formula": "SrZn2Ni2",
  "functional": "GGA-PBEsol",
  "state": "optimized geometry",
  "formation_enthalpy_0k_kj_per_mol_fu": -56.3,
  "magmom_total_mub_per_cell": 0.00,
  "cell": [[-2.0564, 2.0564, 5.0408], [2.0564, -2.0564, 5.0408], [2.0564, 2.0564, -5.0408]],
  "species": ["Sr", "Zn", "Zn", "Ni", "Ni"],
  "frac_coords": [[0.0000, 0.0000, 0.0000], [0.3701, 0.3701, 0.0000], [0.6299, 0.6299, 0.0000], [0.2500, 0.7500, 0.5000], [0.7500, 0.2500, 0.5000]]
}


# 2
{
  "formula": "YBeW",
  "functional": "GGA-PBEsol",
  "state": "optimized geometry",
  "de_polymorph_mev_per_atom": 1570.1,
  "formation_enthalpy_0k_kj_per_mol_fu": 565.2,
  "magmom_total_mub_per_cell": 2.77,
  "cell": [[0.0000, 3.2099, 3.2099], [3.2099, 0.0000, 3.2099], [3.2099, 3.2099, 0.0000]],
  "species": ["Y", "Be", "W"],
  "frac_coords": [[0.0000, 0.0000, 0.0000], [0.2500, 0.2500, 0.2500], [0.7500, 0.7500, 0.7500]]
}


# 3
{
  "formula": "Pm2AgRu",
  "functional": "GGA-PBEsol",
  "state": "optimized geometry",
  "formation_enthalpy_0k_kj_per_mol_fu": -73.6,
  "magmom_total_mub_per_cell": 0.00,
  "cell": [[0.0000, 3.5327, 3.5327], [3.5327, 0.0000, 3.5327], [3.5327, 3.5327, 0.0000]],
  "species": ["Pm", "Pm", "Ag", "Ru"],
  "frac_coords": [[0.2500, 0.2500, 0.2500], [0.7500, 0.7500, 0.7500], [0.0000, 0.0000, 0.0000], [0.5000, 0.5000, 0.5000]]
}


# 4
{
  "formula": "InH5NOF4",
  "functional": "GGA-PBEsol",
  "state": "optimized geometry",
  "magmom_total_mub_per_cell": 0.14,
  "final_energy_ev_per_cell": -118.3,
  "cell": [[5.7575, 0.0000, 0.0000], [1.0487, 6.1186, 0.0000], [0.1338, 2.3910, 6.3169]],
  "species": ["In", "In", "H", "H", "H", "H", "H", "H", "H", "H", "H", "H", "N", "N", "O", "O", "F", "F", "F", "F", "F", "F", "F", "F"],
  "frac_coords": [[0.0574, 0.4116, 0.2776], [0.9426, 0.5884, 0.7224], [0.2727, 0.8717, 0.5498], [0.2904, 0.0934, 0.8609], [0.3842, 0.8032, 0.0225], [0.4086, 0.6118, 0.7138], [0.4487, 0.0599, 0.1906], [0.5513, 0.9401, 0.8094], [0.5914, 0.3882, 0.2862], [0.6158, 0.1968, 0.9775], [0.7096, 0.9066, 0.1391], [0.7273, 0.1283, 0.4502], [0.4368, 0.9634, 0.9305], [0.5632, 0.0366, 0.0695], [0.2584, 0.7320, 0.6848], [0.7416, 0.2680, 0.3152], [0.1135, 0.3064, 0.6182], [0.1223, 0.3164, 0.9940], [0.2865, 0.0791, 0.3673], [0.3615, 0.5649, 0.2159], [0.6385, 0.4351, 0.7841], [0.7135, 0.9209, 0.6327], [0.8777, 0.6836, 0.0060], [0.8865, 0.6936, 0.3818]]
}


# 5
{
  "formula": "Li17Mn4As8",
  "functional": "GGA-PBEsol",
  "state": "optimized geometry",
  "formation_enthalpy_0k_kj_per_mol_fu": -1373.1,
  "magmom_total_mub_per_cell": 17.41,
  "cell": [[6.0034, 0.0000, 0.0000], [-0.0017, 8.5006, 0.0000], [-0.0027, -0.0792, 8.5199]],
  "species": ["Li", "Li", "Li", "Li", "Li", "Li", "Li", "Li", "Li", "Li", "Li", "Li", "Li", "Li", "Li", "Li", "Li", "Mn", "Mn", "Mn", "Mn", "As", "As", "As", "As", "As", "As", "As", "As"],
  "frac_coords": [[0.0000, 0.0000, 0.0000], [0.9999, 0.2611, 0.7371], [0.0074, 0.7622, 0.7589], [0.2514, 0.2545, 0.9882], [0.2508, 0.2657, 0.4862], [0.2607, 0.7525, 0.5115], [0.4656, 0.7611, 0.7791], [0.4950, 0.2618, 0.7371], [0.5008, 0.5160, 0.0028], [0.5085, 0.0033, 0.0093], [0.5092, 0.0109, 0.4755], [0.5239, 0.5074, 0.4644], [0.5312, 0.2596, 0.2372], [0.7384, 0.0141, 0.7423], [0.7396, 0.5106, 0.7363], [0.9725, 0.2594, 0.2372], [0.9813, 0.5104, 0.4735], [0.0000, 0.5161, 0.9974], [0.5025, 0.7603, 0.2379], [0.9900, 0.0076, 0.4806], [0.9947, 0.7627, 0.2412], [0.2424, 0.5079, 0.7381], [0.2440, 0.0143, 0.7288], [0.2457, 0.5127, 0.2398], [0.2465, 0.0095, 0.2450], [0.7447, 0.7638, 0.4940], [0.7514, 0.7562, 0.9967], [0.7529, 0.2548, 0.4977], [0.7537, 0.2652, 0.9776]]
}


# 6
{
  "formula": "Ca3Y",
  "functional": "GGA-PBEsol",
  "state": "optimized geometry",
  "de_polymorph_mev_per_atom": 11.4,
  "formation_enthalpy_0k_kj_per_mol_fu": 33.6,
  "magmom_total_mub_per_cell": 0.93,
  "cell": [[3.7391, 0.0000, 0.0000], [0.0000, 3.7391, 0.0000], [0.0000, 0.0000, 10.7102]],
  "species": ["Ca", "Ca", "Ca", "Y"],
  "frac_coords": [[0.0000, 0.0000, 0.0000], [0.5000, 0.5000, 0.2632], [0.5000, 0.5000, 0.7368], [0.0000, 0.0000, 0.5000]]
}


# 7
{
  "formula": "La2AlCl",
  "functional": "GGA-PBEsol",
  "state": "optimized geometry",
  "de_polymorph_mev_per_atom": 160.3,
  "e_form_raw_ev_per_fu": -3.10,
  "magmom_total_mub_per_cell": 0.00,
  "cell": [[-1.8761, 1.8803, 7.8438], [1.8761, -1.8803, 7.8438], [1.8761, 1.8803, -7.8438]],
  "species": ["La", "La", "Al", "Cl"],
  "frac_coords": [[0.0000, 0.0000, 0.0000], [0.7336, 0.2336, 0.5000], [0.3449, 0.8449, 0.5000], [0.5834, 0.5834, 0.0000]]
}


# 8
{
  "formula": "CdSbPb2Au",
  "functional": "GGA-PBEsol",
  "state": "optimized geometry",
  "e_form_raw_ev_per_fu": 3.86,
  "magmom_total_mub_per_cell": 0.00,
  "cell": [[5.5169, 0.0000, 0.0000], [0.0000, 5.5169, 0.0000], [0.0000, 0.0000, 5.2945]],
  "species": ["Cd", "Sb", "Pb", "Pb", "Au"],
  "frac_coords": [[0.0000, 0.0000, 0.0000], [0.0000, 0.0000, 0.5000], [0.0000, 0.5000, 0.0000], [0.5000, 0.0000, 0.0000], [0.5000, 0.5000, 0.5000]]
}


# 9
{
  "formula": "LiCu",
  "functional": "GGA-PBEsol",
  "state": "optimized geometry",
  "formation_enthalpy_0k_kj_per_mol_fu": 9.3,
  "magmom_total_mub_per_cell": 0.00,
  "cell": [[2.9954, 0.0000, 0.0000], [0.0000, 2.9954, 0.0000], [0.0000, 0.0000, 5.7075]],
  "species": ["Li", "Li", "Cu", "Cu"],
  "frac_coords": [[0.2500, 0.2500, 0.1488], [0.7500, 0.7500, 0.8512], [0.2500, 0.2500, 0.6071], [0.7500, 0.7500, 0.3929]]
}


# 10
{
  "formula": "Rb2TlCuF6",
  "functional": "GGA-PBEsol",
  "state": "optimized geometry",
  "e_form_raw_ev_per_fu": -21.36,
  "magmom_total_mub_per_cell": 0.32,
  "cell": [[0.0000, 4.3274, 4.3274], [4.3274, 0.0000, 4.3274], [4.3274, 4.3274, 0.0000]],
  "species": ["Rb", "Rb", "Tl", "Cu", "F", "F", "F", "F", "F", "F"],
  "frac_coords": [[0.2500, 0.2500, 0.2500], [0.7500, 0.7500, 0.7500], [0.0000, 0.0000, 0.0000], [0.5000, 0.5000, 0.5000], [0.2676, 0.2676, 0.7324], [0.2676, 0.7324, 0.2676], [0.2676, 0.7324, 0.7324], [0.7324, 0.2676, 0.2676], [0.7324, 0.2676, 0.7324], [0.7324, 0.7324, 0.2676]]
}


# 11
{
  "formula": "MnSiRh2",
  "functional": "GGA-PBEsol",
  "state": "optimized geometry",
  "e_form_raw_ev_per_fu": -2.04,
  "magmom_total_mub_per_cell": 4.27,
  "cell": [[2.8488, 0.0000, 0.0000], [0.0000, 2.8488, 0.0000], [0.0000, 0.0000, 6.4393]],
  "species": ["Mn", "Si", "Rh", "Rh"],
  "frac_coords": [[0.0000, 0.0000, 0.0000], [0.0000, 0.0000, 0.5000], [0.5000, 0.5000, 0.2792], [0.5000, 0.5000, 0.7208]]
}


# 12
{
  "formula": "LiNiCl",
  "functional": "GGA-PBEsol",
  "state": "optimized geometry",
  "e_form_raw_ev_per_fu": -0.60,
  "magmom_total_mub_per_cell": 0.00,
  "cell": [[-1.5817, 1.5817, 3.8114], [1.5817, -1.5817, 3.8114], [1.5817, 1.5817, -3.8114]],
  "species": ["Li", "Ni", "Cl"],
  "frac_coords": [[0.0000, 0.0000, 0.0000], [0.6515, 0.6515, 0.0000], [0.3661, 0.3661, 0.0000]]
}


# 13
{
  "formula": "Zn2FeBr",
  "functional": "GGA-PBEsol",
  "state": "optimized geometry",
  "de_polymorph_mev_per_atom": 0.0,
  "e_form_raw_ev_per_fu": 0.83,
  "magmom_total_mub_per_cell": 1.95,
  "cell": [[-1.4813, 2.0072, 5.8677], [1.4813, -2.0072, 5.8677], [1.4813, 2.0072, -5.8677]],
  "species": ["Zn", "Zn", "Fe", "Br"],
  "frac_coords": [[0.0000, 0.0000, 0.0000], [0.6371, 0.1371, 0.5000], [0.4681, 0.4681, 0.0000], [0.3003, 0.8003, 0.5000]]
}


# 14
{
  "formula": "AcTlRh2",
  "functional": "GGA-PBEsol",
  "state": "optimized geometry",
  "formation_enthalpy_0k_kj_per_mol_fu": -112.1,
  "magmom_total_mub_per_cell": 0.00,
  "cell": [[0.0000, 3.4447, 3.4447], [3.4447, 0.0000, 3.4447], [3.4447, 3.4447, 0.0000]],
  "species": ["Ac", "Tl", "Rh", "Rh"],
  "frac_coords": [[0.0000, 0.0000, 0.0000], [0.5000, 0.5000, 0.5000], [0.2500, 0.2500, 0.2500], [0.7500, 0.7500, 0.7500]]
}


# 15
{
  "formula": "TaZnRh",
  "functional": "GGA-PBEsol",
  "state": "optimized geometry",
  "formation_enthalpy_0k_kj_per_mol_fu": -80.4,
  "magmom_total_mub_per_cell": 0.00,
  "cell": [[-1.4515, 1.4515, 5.2306], [1.4515, -1.4515, 5.2306], [1.4515, 1.4515, -5.2306]],
  "species": ["Ta", "Zn", "Rh"],
  "frac_coords": [[0.0000, 0.0000, 0.0000], [0.3189, 0.3189, 0.0000], [0.6676, 0.6676, 0.0000]]
}


# 16
{
  "formula": "BaSr2Mg",
  "functional": "GGA-PBEsol",
  "state": "optimized geometry",
  "formation_enthalpy_0k_kj_per_mol_fu": -3.7,
  "magmom_total_mub_per_cell": 0.00,
  "cell": [[4.1516, 0.0000, 0.0000], [0.0000, 4.1516, 0.0000], [0.0000, 0.0000, 10.5961]],
  "species": ["Ba", "Sr", "Sr", "Mg"],
  "frac_coords": [[0.0000, 0.0000, 0.0000], [0.5000, 0.5000, 0.3058], [0.5000, 0.5000, 0.6942], [0.0000, 0.0000, 0.5000]]
}


# 17
{
  "formula": "V4CoNiO12",
  "functional": "GGA-PBEsol",
  "state": "optimized geometry",
  "e_form_raw_ev_per_fu": -34.86,
  "magmom_total_mub_per_cell": 5.00,
  "cell": [[4.8952, -4.3925, 0.0000], [4.8952, 4.3925, 0.0000], [-2.0343, 0.0000, 5.3308]],
  "species": ["V", "V", "V", "V", "Co", "Ni", "O", "O", "O", "O", "O", "O", "O", "O", "O", "O", "O", "O"],
  "frac_coords": [[0.2039, 0.2039, 0.4924], [0.3921, 0.0188, 0.9949], [0.7961, 0.7961, 0.5076], [0.9812, 0.6079, 0.0051], [0.5096, 0.4904, 0.0000], [0.6750, 0.3250, 0.5000], [0.2142, 0.0619, 0.1872], [0.2206, 0.4920, 0.0174], [0.2510, 0.0287, 0.6901], [0.4013, 0.3780, 0.6091], [0.5080, 0.7794, 0.9826], [0.5641, 0.2192, 0.1150], [0.6220, 0.5987, 0.3909], [0.6778, 0.0329, 0.5169], [0.7808, 0.4359, 0.8850], [0.9381, 0.7858, 0.8128], [0.9671, 0.3222, 0.4831], [0.9713, 0.7490, 0.3099]]
}


# 18
{
  "formula": "NaAlB3",
  "functional": "GGA-PBEsol",
  "state": "optimized geometry",
  "formation_enthalpy_0k_kj_per_mol_fu": 1315.8,
  "magmom_total_mub_per_cell": 0.00,
  "cell": [[4.2425, 0.0000, 0.0000], [0.0000, 4.2425, 0.0000], [0.0000, 0.0000, 4.2425]],
  "species": ["Na", "Al", "B", "B", "B"],
  "frac_coords": [[0.0000, 0.0000, 0.0000], [0.5000, 0.5000, 0.5000], [0.0000, 0.0000, 0.5000], [0.0000, 0.5000, 0.0000], [0.5000, 0.0000, 0.0000]]
}


# 19
{
  "formula": "Re3Sb",
  "functional": "GGA-PBEsol",
  "state": "optimized geometry",
  "de_polymorph_mev_per_atom": 427.1,
  "e_form_raw_ev_per_fu": 3.31,
  "magmom_total_mub_per_cell": 0.00,
  "cell": [[3.9856, 0.0000, 0.0000], [0.0000, 3.9856, 0.0000], [0.0000, 0.0000, 3.9856]],
  "species": ["Re", "Re", "Re", "Sb"],
  "frac_coords": [[0.0000, 0.0000, 0.5000], [0.0000, 0.5000, 0.0000], [0.5000, 0.0000, 0.0000], [0.5000, 0.5000, 0.5000]]
}


# 20
{
  "formula": "Sr5Fe4MoO15",
  "functional": "GGA-PBEsol",
  "state": "optimized geometry",
  "e_form_raw_ev_per_fu": -54.94,
  "magmom_total_mub_per_cell": 13.08,
  "cell": [[8.1233, -2.7066, 0.0000], [8.1233, 2.7066, 0.0000], [-1.7999, 0.0000, 6.3902]],
  "species": ["Sr", "Sr", "Sr", "Sr", "Sr", "Fe", "Fe", "Fe", "Fe", "Mo", "O", "O", "O", "O", "O", "O", "O", "O", "O", "O", "O", "O", "O", "O", "O"],
  "frac_coords": [[0.0000, 0.0000, 0.0000], [0.2042, 0.2042, 0.8051], [0.3941, 0.3941, 0.6033], [0.6059, 0.6059, 0.3967], [0.7958, 0.7958, 0.1949], [0.2030, 0.2030, 0.2972], [0.3982, 0.3982, 0.0909], [0.6018, 0.6018, 0.9091], [0.7970, 0.7970, 0.7028], [0.0000, 0.0000, 0.5000], [0.0000, 0.5000, 0.5000], [0.0990, 0.6007, 0.8996], [0.0997, 0.0997, 0.3999], [0.1992, 0.7016, 0.3010], [0.2984, 0.8008, 0.6990], [0.3009, 0.3009, 0.2005], [0.3993, 0.9010, 0.1004], [0.5000, 0.0000, 0.5000], [0.5000, 0.5000, 0.0000], [0.6007, 0.0990, 0.8996], [0.6991, 0.6991, 0.7995], [0.7016, 0.1992, 0.3010], [0.8008, 0.2984, 0.6990], [0.9003, 0.9003, 0.6001], [0.9010, 0.3993, 0.1004]]
}


# 21
{
  "formula": "Ti2BeB",
  "functional": "GGA-PBEsol",
  "state": "optimized geometry",
  "formation_enthalpy_0k_kj_per_mol_fu": -54.6,
  "magmom_total_mub_per_cell": 0.00,
  "cell": [[0.0000, 2.8170, 2.8170], [2.8170, 0.0000, 2.8170], [2.8170, 2.8170, 0.0000]],
  "species": ["Ti", "Ti", "Be", "B"],
  "frac_coords": [[0.2500, 0.2500, 0.2500], [0.7500, 0.7500, 0.7500], [0.0000, 0.0000, 0.0000], [0.5000, 0.5000, 0.5000]]
}


# 22
{
  "formula": "Sr5Mg",
  "functional": "GGA-PBEsol",
  "state": "optimized geometry",
  "de_polymorph_mev_per_atom": 23.2,
  "formation_enthalpy_0k_kj_per_mol_fu": 6.6,
  "magmom_total_mub_per_cell": 0.00,
  "cell": [[7.1963, -2.1842, 0.0000], [7.1963, 2.1842, 0.0000], [-3.1285, 0.0000, 8.9220]],
  "species": ["Sr", "Sr", "Sr", "Sr", "Sr", "Mg"],
  "frac_coords": [[0.0000, 0.0000, 0.0000], [0.3343, 0.3343, 0.2002], [0.3577, 0.3577, 0.6426], [0.6423, 0.6423, 0.3574], [0.6657, 0.6657, 0.7998], [0.0000, 0.0000, 0.5000]]
}


# 23
{
  "formula": "SrP2S2",
  "functional": "GGA-PBEsol",
  "state": "optimized geometry",
  "de_polymorph_mev_per_atom": 1626.3,
  "e_form_raw_ev_per_fu": 6.52,
  "magmom_total_mub_per_cell": 1.93,
  "cell": [[5.4283, 0.0000, 0.0000], [0.0000, 5.4283, 0.0000], [0.0000, 0.0000, 5.7250]],
  "species": ["Sr", "P", "P", "S", "S"],
  "frac_coords": [[0.0000, 0.0000, 0.0000], [0.0000, 0.0000, 0.5000], [0.5000, 0.5000, 0.5000], [0.0000, 0.5000, 0.0000], [0.5000, 0.0000, 0.0000]]
}


# 24
{
  "formula": "V6O7F5",
  "functional": "GGA-PBEsol",
  "state": "optimized geometry",
  "de_polymorph_mev_per_atom": 14.1,
  "e_form_raw_ev_per_fu": -44.95,
  "magmom_total_mub_per_cell": 11.00,
  "cell": [[5.4753, 0.0000, 0.0000], [1.6583, 5.2362, 0.0000], [2.3507, 1.6574, 6.5929]],
  "species": ["V", "V", "V", "V", "V", "V", "O", "O", "O", "O", "O", "O", "O", "F", "F", "F", "F", "F"],
  "frac_coords": [[0.0000, 0.0000, 0.0000], [0.0080, 0.0143, 0.5097], [0.3018, 0.3707, 0.6626], [0.3436, 0.3680, 0.1540], [0.6588, 0.6369, 0.8318], [0.7244, 0.6677, 0.3512], [0.0165, 0.6529, 0.6730], [0.1050, 0.1135, 0.7056], [0.2986, 0.7105, 0.9962], [0.5692, 0.5679, 0.6283], [0.7049, 0.2967, 0.0000], [0.9138, 0.9123, 0.3064], [0.9962, 0.3738, 0.3351], [0.2338, 0.2446, 0.9669], [0.3878, 0.9773, 0.3323], [0.4495, 0.4546, 0.3598], [0.6266, 0.0437, 0.6743], [0.7620, 0.7638, 0.0414]]
}